<1>
First-principles (PBE-GGA) data for an optimized crystal structure of Cd5W, as listed in the Alexandria database.

* density of states at the Fermi level: 4.4 states/eV per cell
* space group: F-43m

Structure (POSCAR):
```
Cd5W
1.0
0.000 3.995 3.995
3.995 0.000 3.995
3.995 3.995 0.000
Cd W
5 1
direct
0.000 0.000 0.000
0.375 0.375 0.375
0.375 0.375 0.874
0.375 0.874 0.375
0.874 0.375 0.375
0.750 0.750 0.750
```

<2>
First-principles (PBE-GGA) data for an optimized crystal structure of Cd5W, as listed in the Alexandria database.

* density of states at the Fermi level: 2.9 states/eV per cell
* space group: Amm2

Structure (POSCAR):
```
Cd5W
1.0
5.070 0.000 0.000
0.000 1.491 8.053
0.000 -1.491 8.053
Cd W
5 1
direct
0.000 0.000 0.000
0.000 0.321 0.321
0.500 0.212 0.212
0.500 0.555 0.555
0.500 0.884 0.884
0.000 0.660 0.660
```

Stability check: which of them is most stable? <2>.

<1>
First-principles (PBE-GGA) data for an optimized crystal structure of Cd4W, as listed in the Alexandria database.

* density of states at the Fermi level: 3.4 states/eV per cell
* space group: Pm-3m

Structure (POSCAR):
```
Cd4W
1.0
5.459 0.000 0.000
0.000 5.459 0.000
0.000 0.000 5.459
Cd W
4 1
direct
0.000 0.000 0.000
0.000 0.500 0.500
0.500 0.000 0.500
0.500 0.500 0.000
0.500 0.500 0.500
```

<2>
First-principles (PBE-GGA) data for an optimized crystal structure of Cd4W, as listed in the Alexandria database.

* density of states at the Fermi level: 2.5 states/eV per cell
* space group: I4/mmm

Structure (POSCAR):
```
Cd4W
1.0
-1.908 1.908 7.590
1.908 -1.908 7.590
1.908 1.908 -7.590
Cd W
4 1
direct
0.092 0.092 0.000
0.250 0.750 0.500
0.750 0.250 0.500
0.908 0.908 0.000
0.500 0.500 0.000
```

Stability check: which of them is most stable? <2>.

<1>
First-principles (PBE-GGA) data for an optimized crystal structure of YCdW, as listed in the Alexandria database.

* density of states at the Fermi level: 1.5 states/eV per cell
* space group: F-43m

Structure (POSCAR):
```
YCdW
1.0
0.000 3.455 3.455
3.455 0.000 3.455
3.455 3.455 0.000
Y Cd W
1 1 1
direct
0.000 0.000 0.000
0.250 0.250 0.250
0.750 0.750 0.750
```

<2>
First-principles (PBE-GGA) data for an optimized crystal structure of YCdW, as listed in the Alexandria database.

* density of states at the Fermi level: 1.1 states/eV per cell
* space group: F-43m

Structure (POSCAR):
```
YCdW
1.0
0.000 3.413 3.413
3.413 0.000 3.413
3.413 3.413 0.000
Y Cd W
1 1 1
direct
0.000 0.000 0.000
0.500 0.500 0.500
0.750 0.750 0.750
```

Stability check: which of them is most stable? <2>.

<1>
First-principles (PBE-GGA) data for an optimized crystal structure of ZnCdW2, as listed in the Alexandria database.

* density of states at the Fermi level: 1.7 states/eV per cell
* space group: Cmmm

Structure (POSCAR):
```
ZnCdW2
1.0
1.682 -2.138 0.000
1.682 2.138 0.000
0.000 0.000 9.207
Zn Cd W
1 1 2
direct
0.000 0.000 0.000
0.000 0.000 0.500
0.500 0.500 0.235
0.500 0.500 0.765
```

<2>
First-principles (PBE-GGA) data for an optimized crystal structure of ZnCdW2, as listed in the Alexandria database.

* density of states at the Fermi level: 1.6 states/eV per cell
* space group: Pmmm

Structure (POSCAR):
```
ZnCdW2
1.0
2.723 0.000 0.000
0.000 4.463 0.000
0.000 0.000 5.465
Zn Cd W
1 1 2
direct
0.000 0.000 0.000
0.000 0.000 0.500
0.500 0.500 0.236
0.500 0.500 0.764
```

Stability check: which of them is most stable? <1>.

<1>
First-principles (PBE-GGA) data for an optimized crystal structure of ZnCdW2, as listed in the Alexandria database.

* density of states at the Fermi level: 2.6 states/eV per cell
* space group: P4/mmm

Structure (POSCAR):
```
ZnCdW2
1.0
3.350 0.000 0.000
0.000 3.350 0.000
0.000 0.000 6.046
Zn Cd W
1 1 2
direct
0.000 0.000 0.000
0.000 0.000 0.500
0.500 0.500 0.202
0.500 0.500 0.798
```

<2>
First-principles (PBE-GGA) data for an optimized crystal structure of ZnCdW2, as listed in the Alexandria database.

* density of states at the Fermi level: 1.8 states/eV per cell
* space group: Imm2

Structure (POSCAR):
```
ZnCdW2
1.0
-1.677 2.316 4.349
1.677 -2.316 4.349
1.677 2.316 -4.349
Zn Cd W
1 1 2
direct
0.000 0.000 0.000
0.247 0.747 0.500
0.522 0.522 0.000
0.742 0.242 0.500
```

<3>
First-principles (PBE-GGA) data for an optimized crystal structure of ZnCdW2, as listed in the Alexandria database.

* density of states at the Fermi level: 0.9 states/eV per cell
* space group: F-43m

Structure (POSCAR):
```
ZnCdW2
1.0
0.000 3.221 3.221
3.221 0.000 3.221
3.221 3.221 0.000
Zn Cd W
1 1 2
direct
0.000 0.000 0.000
0.250 0.250 0.250
0.500 0.500 0.500
0.750 0.750 0.750
```

<4>
First-principles (PBE-GGA) data for an optimized crystal structure of ZnCdW2, as listed in the Alexandria database.

* density of states at the Fermi level: 1.9 states/eV per cell
* space group: Pmm2

Structure (POSCAR):
```
ZnCdW2
1.0
2.713 0.000 0.000
0.000 4.276 0.000
0.000 0.000 5.844
Zn Cd W
1 1 2
direct
0.000 0.000 0.000
0.500 0.500 0.239
0.000 0.000 0.530
0.500 0.500 0.740
```

Stability check: which of them is most stable? <4>.

<1>
First-principles (PBE-GGA) data for an optimized crystal structure of ZnCd3W, as listed in the Alexandria database.

* density of states at the Fermi level: 3.3 states/eV per cell
* space group: Pm-3m

Structure (POSCAR):
```
ZnCd3W
1.0
5.515 0.000 0.000
0.000 5.515 0.000
0.000 0.000 5.515
Zn Cd W
1 3 1
direct
0.000 0.000 0.000
0.000 0.500 0.500
0.500 0.000 0.500
0.500 0.500 0.000
0.500 0.500 0.500
```

<2>
First-principles (PBE-GGA) data for an optimized crystal structure of ZnCd3W, as listed in the Alexandria database.

* density of states at the Fermi level: 2.5 states/eV per cell
* space group: Pm-3m

Structure (POSCAR):
```
ZnCd3W
1.0
4.908 0.000 0.000
0.000 4.908 0.000
0.000 0.000 4.908
Zn Cd W
1 3 1
direct
0.000 0.000 0.000
0.000 0.000 0.500
0.000 0.500 0.000
0.500 0.000 0.000
0.500 0.500 0.500
```

Stability check: which of them is most stable? <1>.

<1>
First-principles (PBE-GGA) data for an optimized crystal structure of ZnCdW3, as listed in the Alexandria database.

* density of states at the Fermi level: 7.6 states/eV per cell
* space group: Pm-3m

Structure (POSCAR):
```
ZnCdW3
1.0
4.589 0.000 0.000
0.000 4.589 0.000
0.000 0.000 4.589
Zn Cd W
1 1 3
direct
0.000 0.000 0.000
0.500 0.500 0.500
0.000 0.000 0.500
0.000 0.500 0.000
0.500 0.000 0.000
```

<2>
First-principles (PBE-GGA) data for an optimized crystal structure of ZnCdW3, as listed in the Alexandria database.

* density of states at the Fermi level: 12.0 states/eV per cell
* space group: Pm-3m

Structure (POSCAR):
```
ZnCdW3
1.0
4.847 0.000 0.000
0.000 4.847 0.000
0.000 0.000 4.847
Zn Cd W
1 1 3
direct
0.000 0.000 0.000
0.500 0.500 0.500
0.000 0.500 0.500
0.500 0.000 0.500
0.500 0.500 0.000
```

Stability check: which of them is most stable? <1>.

<1>
First-principles (PBE-GGA) data for an optimized crystal structure of Y4Cd3, as listed in the Alexandria database.

* density of states at the Fermi level: 10.3 states/eV per cell
* space group: P6/mmm

Structure (POSCAR):
```
Y4Cd3
1.0
5.938 0.000 0.000
-2.969 5.142 0.000
0.000 0.000 6.273
Y Cd
4 3
direct
0.000 0.000 0.249
0.000 0.000 0.751
0.333 0.667 0.000
0.667 0.333 0.000
0.000 0.500 0.500
0.500 0.000 0.500
0.500 0.500 0.500
```

<2>
First-principles (PBE-GGA) data for an optimized crystal structure of Y4Cd3, as listed in the Alexandria database.

* density of states at the Fermi level: 7.7 states/eV per cell
* space group: I4/mmm

Structure (POSCAR):
```
Y4Cd3
1.0
-1.869 1.869 13.891
1.869 -1.869 13.891
1.869 1.869 -13.891
Y Cd
4 3
direct
0.069 0.069 0.000
0.346 0.346 0.000
0.654 0.654 0.000
0.931 0.931 0.000
0.220 0.220 0.000
0.500 0.500 0.000
0.780 0.780 0.000
```

Stability check: which of them is most stable? <2>.